No. 1
The following is a GGA-PBE calculation of a geometry-optimized YZnTc structure, from the Alexandria database. Values from VASP.

## Properties
The calculation puts the formation energy at -121 meV/atom. For the excess energy over the best structure of this formula in the dataset, the calculation gives 0 meV/atom. The crystal system is monoclinic.

```
&SYSTEM
  ibrav = 0, nat = 6, ntyp = 3
/
ATOMIC_SPECIES
Y 88.91 Y.upf
Zn 65.41 Zn.upf
Tc 98.00 Tc.upf
ATOMIC_POSITIONS angstrom
Y 2.490 -3.132 3.630
Y 0.549 -1.647 0.605
Zn -0.794 -2.876 3.140
Tc 0.495 -4.597 1.562
Zn 3.833 -1.903 1.096
Tc 2.544 -0.182 2.674
CELL_PARAMETERS angstrom
-0.508 1.338 4.099
-2.131 -4.847 1.318
5.678 -1.269 -1.182
```

---

No. 2
The following is a GGA-PBE calculation of a geometry-optimized YZnTc2 structure, from the Alexandria database. Values from VASP.

## Properties
The calculation puts the formation energy at 85 meV/atom. The crystal system is monoclinic.

```
&SYSTEM
  ibrav = 0, nat = 4, ntyp = 3
/
ATOMIC_SPECIES
Y 88.91 Y.upf
Tc 98.00 Tc.upf
Zn 65.41 Zn.upf
ATOMIC_POSITIONS angstrom
Y -2.124 2.702 0.852
Tc -2.747 0.094 0.984
Zn -4.322 3.939 -0.603
Tc -1.563 0.990 -1.691
CELL_PARAMETERS angstrom
-1.444 0.141 -4.046
-2.947 -0.124 1.048
-1.296 5.262 0.645
```

---

No. 3
The following is a GGA-PBE calculation of a geometry-optimized YZnTc structure, from the Alexandria database. Values from VASP.

## Properties
The calculation puts the formation energy at -15 meV/atom. For the excess energy over the best structure of this formula in the dataset, the calculation gives 105 meV/atom. The crystal system is tetragonal.

```
&SYSTEM
  ibrav = 0, nat = 3, ntyp = 3
/
ATOMIC_SPECIES
Y 88.91 Y.upf
Tc 98.00 Tc.upf
Zn 65.41 Zn.upf
ATOMIC_POSITIONS angstrom
Y 3.969 1.325 2.187
Tc 1.326 0.442 3.174
Zn 6.505 2.172 1.240
CELL_PARAMETERS angstrom
5.352 -0.036 0.040
4.257 3.245 0.040
1.095 0.365 3.260
```

---

No. 4
The following is a GGA-PBE calculation of a geometry-optimized Y2Zn2Tc structure, from the Alexandria database. Values from VASP.

## Properties
The calculation puts the formation energy at -39 meV/atom. The crystal system is tetragonal.

```
&SYSTEM
  ibrav = 0, nat = 10, ntyp = 3
/
ATOMIC_SPECIES
Y 88.91 Y.upf
Zn 65.41 Zn.upf
Tc 98.00 Tc.upf
ATOMIC_POSITIONS angstrom
Y -0.147 -3.173 -0.982
Zn 2.146 -1.714 -0.216
Tc 0.000 0.000 0.000
Y 3.438 -6.504 -2.388
Y 2.735 -4.633 0.607
Zn 0.701 -2.229 -3.799
Y 0.557 -5.044 -3.977
Tc 2.858 -3.230 -2.405
Zn 5.014 -4.231 -1.012
Zn 3.569 -4.746 -4.594
CELL_PARAMETERS angstrom
-0.039 -2.829 -6.384
5.754 -3.631 1.574
-2.424 -3.216 1.440
```